(1)
Li4LaPr, relaxed, DFT PBE; energy of formation from the pure elements = 0.1027 eV/atom
1.0
0.0000 4.2712 4.2712
4.2712 0.0000 4.2712
4.2712 4.2712 0.0000
Li La Pr
4 1 1
Direct
0.1252 0.1252 0.1252
0.1252 0.1252 0.6243
0.1252 0.6243 0.1252
0.6243 0.1252 0.1252
0.7500 0.7500 0.7500
0.5000 0.5000 0.5000

---

(2)
ZrBrCl, relaxed, DFT PBE; E_form (uncorrected) = -1073 meV per atom
1.0
0.0000 3.2559 7.9918
1.6693 0.0000 7.9918
1.6693 3.2559 0.0000
Zr Br Cl
1 1 1
Direct
0.0000 0.0000 0.0000
0.3671 0.3671 0.6329
0.6229 0.6229 0.3771

---

(3)
MnZnN, relaxed, DFT PBE; E_form (uncorrected) = -22 meV per atom
1.0
4.1259 0.0000 0.0000
0.0000 2.7697 0.0000
-0.5310 0.0000 5.5589
Mn Zn N
2 2 2
Direct
0.1968 0.2500 0.1168
0.8032 0.7500 0.8832
0.2555 0.7500 0.5315
0.7445 0.2500 0.4685
0.2640 0.7500 0.8957
0.7360 0.2500 0.1043

---

(4)
RbBe2S, relaxed, DFT PBE; E_form (uncorrected) = 524 meV per atom
1.0
-3.6274 3.6274 3.4204
3.6274 -3.6274 3.4204
3.6274 3.6274 -3.4204
Rb Be S
2 4 2
Direct
0.0000 0.0000 0.0000
0.7500 0.2500 0.5000
0.2585 0.6250 0.1335
0.3750 0.5085 0.6335
0.4915 0.1250 0.8665
0.8750 0.7415 0.3665
0.2500 0.7500 0.5000
0.5000 0.5000 0.0000

---

(5)
Th2PaNi, relaxed, DFT PBE; energy of formation from the pure elements = 0.2847 eV/atom
1.0
1.6919 0.9768 10.4297
-1.6919 0.9768 10.4297
0.0000 -1.9536 10.4297
Th Pa Ni
2 1 1
Direct
0.1018 0.1018 0.1018
0.8982 0.8982 0.8982
0.0000 0.0000 0.0000
0.5000 0.5000 0.5000

---

(6)
AcGeN3, relaxed, DFT PBE; E_form (uncorrected) = -18 meV per atom
1.0
3.3475 0.0000 0.0000
0.0000 6.8079 0.0000
-1.6712 0.0000 6.7414
Ac Ge N
2 2 6
Direct
0.1936 0.2500 0.3900
0.8064 0.7500 0.6100
0.0490 0.7500 0.0923
0.9510 0.2500 0.9077
0.1756 0.6329 0.3482
0.1756 0.8671 0.3482
0.4764 0.7500 0.9471
0.5236 0.2500 0.0529
0.8244 0.1329 0.6518
0.8244 0.3671 0.6518

---

(7)
HfBPt2, relaxed, DFT PBE; energy of formation from the pure elements = -0.3645 eV/atom
1.0
-2.6334 2.6334 5.4672
2.6334 -2.6334 5.4672
2.6334 2.6334 -5.4672
Hf B Pt
2 2 4
Direct
0.0000 0.0000 0.0000
0.7500 0.2500 0.5000
0.2500 0.7500 0.5000
0.5000 0.5000 0.0000
0.2156 0.6250 0.0906
0.3750 0.4656 0.5906
0.5344 0.1250 0.9094
0.8750 0.7844 0.4094

---

(8)
BeInW2, relaxed, DFT PBE; energy of formation from the pure elements = 0.5905 eV/atom
1.0
4.6600 -1.3865 0.0000
4.6600 1.3865 0.0000
-0.7216 0.0000 4.9707
Be In W
1 1 2
Direct
0.0000 0.0000 0.0000
0.2440 0.2440 0.7608
0.4874 0.4874 0.4702
0.7286 0.7286 0.2447

---

| no. | total magnetization (μB/f.u.) | V (A^3/atom) |
| --- | --- | --- |
| 1 | 0.01 | 25.97 |
| 2 | 0.00 | 28.96 |
| 3 | 0.00 | 10.59 |
| 4 | 0.00 | 22.50 |
| 5 | 0.00 | 25.86 |
| 6 | 0.00 | 15.36 |
| 7 | 0.00 | 18.96 |
| 8 | 0.00 | 16.06 |